Compound: Ca6Pd2Rh
Source: Alexandria via LeMat-Bulk
Functional: PBE
Structure: optimized geometry

Summary:
density of states at the Fermi level = 4.85 states/eV/f.u.
DFT total energy = -3.741 eV/atom
total magnetic moment = 0.00 μB/atom
formation energy from the elements = -3.918 eV/f.u.

The structure in extended XYZ format:
```
18
Lattice="6.692 0.000 0.000 0.000 7.810 0.000 -6.429 0.000 9.912" Properties=species:S:1:pos:R:3 pbc="T T T"
Ca -2.175 1.402 4.328
Ca -5.389 2.503 9.285
Ca -0.927 5.214 4.263
Ca -4.141 6.501 9.219
Ca 1.046 0.326 2.518
Ca -2.169 3.579 7.474
Ca 2.432 4.231 2.438
Ca -0.783 7.484 7.395
Ca 4.405 1.309 0.693
Ca 1.190 2.596 5.650
Ca 5.653 5.307 0.628
Ca 2.438 6.408 5.584
Pd -3.506 0.955 7.291
Pd -0.291 2.950 2.335
Pd 0.555 4.860 7.577
Pd 3.769 6.855 2.621
Rh 0.000 0.000 0.000
Rh -3.215 3.905 4.956
```